## TiCuAg2O4 (PBE-GGA)

Data for an optimized crystal structure of TiCuAg2O4.

Computed properties:
Energy relative to the elements, uncorrected   -114.6 kJ/mol of atoms

abc: 5.167 5.167 5.167
angles: 104.24 112.15 112.15
Positions (direct):
Ag (0.000, 0.000, 0.000)
Ag (0.500, 0.750, 0.250)
O (0.136, 0.266, 0.712)
O (0.445, 0.869, 0.734)
O (0.555, 0.288, 0.424)
O (0.864, 0.576, 0.131)
Cu (0.000, 0.500, 0.500)
Ti (0.500, 0.250, 0.750)

=====

## GdYTh2 (PBE-GGA)

Data for an optimized crystal structure of GdYTh2.

Computed properties:
Formation energy from the elements   0.230 eV per atom

abc: 3.481 3.481 12.676
angles: 82.11 82.11 60.00
Positions (direct):
Y (0.000, 0.000, 0.000)
Th (0.087, 0.087, 0.739)
Th (0.913, 0.913, 0.261)
Gd (0.500, 0.500, 0.500)

=====

## Li2Cd3Pd3 (PBE-GGA)

Data for an optimized crystal structure of Li2Cd3Pd3.

Computed properties:
Formation energy from the elements   -0.358 eV per atom

abc: 4.159 5.187 13.792
angles: 90.00 90.00 113.64
Positions (direct):
Pd (0.238, 0.476, 0.750)
Pd (0.931, 0.863, 0.092)
Pd (0.762, 0.524, 0.250)
Pd (0.069, 0.137, 0.592)
Pd (0.069, 0.137, 0.908)
Pd (0.931, 0.863, 0.408)
Cd (0.523, 0.046, 0.750)
Cd (0.363, 0.725, 0.955)
Cd (0.637, 0.275, 0.455)
Cd (0.363, 0.725, 0.545)
Cd (0.477, 0.954, 0.250)
Cd (0.637, 0.275, 0.045)
Li (0.779, 0.559, 0.648)
Li (0.221, 0.441, 0.148)
Li (0.221, 0.441, 0.352)
Li (0.779, 0.559, 0.852)

=====

## NdSmAg (PBE-GGA)

Data for an optimized crystal structure of NdSmAg.

Computed properties:
Formation energy from the elements   -0.147 eV per atom

abc: 3.714 7.406 12.751
angles: 90.00 90.00 90.00
Positions (direct):
Sm (0.750, 0.378, 0.895)
Sm (0.250, 0.622, 0.105)
Sm (0.750, 0.878, 0.605)
Sm (0.250, 0.122, 0.395)
Ag (0.250, 0.125, 0.754)
Ag (0.750, 0.875, 0.246)
Ag (0.750, 0.375, 0.254)
Ag (0.250, 0.625, 0.746)
Nd (0.750, 0.372, 0.599)
Nd (0.250, 0.128, 0.099)
Nd (0.250, 0.628, 0.401)
Nd (0.750, 0.872, 0.901)

=====

## BaTaGa3 (PBE-GGA)

Data for an optimized crystal structure of BaTaGa3.

Computed properties:
Formation energy from the elements   -0.156 eV per atom

abc: 5.131 5.131 5.131
angles: 90.00 90.00 90.00
Positions (direct):
Ta (0.000, 0.000, 0.000)
Ga (0.500, 0.000, 0.000)
Ga (0.000, 0.000, 0.500)
Ga (0.000, 0.500, 0.000)
Ba (0.500, 0.500, 0.500)

=====

## LaTcSe2 (PBE-GGA)

Data for an optimized crystal structure of LaTcSe2.

Computed properties:
Energy relative to the elements, uncorrected   -92.9 kJ/mol of atoms

abc: 4.181 4.181 6.092
angles: 69.93 69.93 59.99
Positions (direct):
Tc (0.750, 0.750, 0.750)
La (0.250, 0.250, 0.250)
Se (0.021, 0.021, 0.936)
Se (0.479, 0.479, 0.564)